(1)
DFT (PBE) results for crystalline Tm2ZnCu3 at its relaxed geometry.

a b c (Å): 5.344 5.344 6.749
angles (deg): 127.06 127.06 47.39
Fractional coordinates of all 6 atoms:
Tm  0.000  0.000  0.000
Tm  0.095  0.095  0.597
Zn  0.380  0.380  0.191
Cu  0.386  0.386  0.591
Cu  0.710  0.710  0.011
Cu  0.715  0.715  0.413

Values from the calculation:
E = -4.06 eV/atom
size of the total moment = 0.00 μB/f.u.
energy relative to the lowest polymorph listed for this composition = 0.000 eV per formula unit
energy of formation = -0.310 eV/atom
N(E_F) = 4.0 states/eV/cell

---

(2)
DFT (PBE) results for crystalline PrTiPd6 at its relaxed geometry.

a b c (Å): 4.084 4.084 8.119
angles (deg): 90.00 90.00 90.00
Fractional coordinates of all 8 atoms:
Pr  0.000  0.000  0.000
Ti  0.000  0.000  0.500
Pd  0.000  0.500  0.273
Pd  0.000  0.500  0.727
Pd  0.500  0.000  0.273
Pd  0.500  0.000  0.727
Pd  0.500  0.500  0.000
Pd  0.500  0.500  0.500

Values from the calculation:
E = -6.16 eV/atom
size of the total moment = 0.00 μB/f.u.
energy of formation = -0.684 eV/atom
N(E_F) = 2.5 states/eV/cell

---

(3)
DFT (PBE) results for crystalline Ho4Cd5Cu2 at its relaxed geometry.

a b c (Å): 7.620 3.543 9.599
angles (deg): 90.00 93.84 90.00
Fractional coordinates of all 11 atoms:
Ho  0.166  0.000  0.357
Ho  0.233  0.000  0.945
Ho  0.767  0.000  0.055
Ho  0.834  0.000  0.643
Cd  0.183  0.500  0.654
Cd  0.446  0.500  0.186
Cd  0.500  0.500  0.500
Cd  0.554  0.500  0.814
Cd  0.817  0.500  0.346
Cu  0.061  0.500  0.129
Cu  0.939  0.500  0.871

Values from the calculation:
E = -3.10 eV/atom
size of the total moment = 0.00 μB/f.u.
energy of formation = -0.271 eV/atom
N(E_F) = 7.6 states/eV/cell

---

(4)
DFT (PBE) results for crystalline Th2Fe3B12Mo at its relaxed geometry.

a b c (Å): 7.542 7.542 7.542
angles (deg): 48.27 48.27 48.27
Fractional coordinates of all 18 atoms:
Th  0.122  0.122  0.122
Th  0.878  0.878  0.878
Fe  0.000  0.500  0.500
Fe  0.500  0.000  0.500
Fe  0.500  0.500  0.000
B  0.109  0.603  0.603
B  0.164  0.164  0.454
B  0.164  0.454  0.164
B  0.397  0.397  0.891
B  0.397  0.891  0.397
B  0.454  0.164  0.164
B  0.546  0.836  0.836
B  0.603  0.109  0.603
B  0.603  0.603  0.109
B  0.836  0.546  0.836
B  0.836  0.836  0.546
B  0.891  0.397  0.397
Mo  0.500  0.500  0.500

Values from the calculation:
E = -7.17 eV/atom
size of the total moment = 7.97 μB/f.u.
energy of formation = 0.117 eV/atom
N(E_F) = 9.3 states/eV/cell

---

(5)
DFT (PBE) results for crystalline Ce6TlSb3 at its relaxed geometry.

a b c (Å): 8.701 8.701 8.701
angles (deg): 82.35 82.35 82.35
Fractional coordinates of all 20 atoms:
Ce  0.125  0.709  0.804
Ce  0.145  0.422  0.495
Ce  0.196  0.875  0.291
Ce  0.291  0.196  0.875
Ce  0.422  0.495  0.145
Ce  0.495  0.145  0.422
Ce  0.505  0.855  0.578
Ce  0.578  0.505  0.855
Ce  0.709  0.804  0.125
Ce  0.804  0.125  0.709
Ce  0.855  0.578  0.505
Ce  0.875  0.291  0.196
Tl  0.000  0.000  0.000
Tl  0.500  0.500  0.500
Sb  0.053  0.593  0.171
Sb  0.171  0.053  0.593
Sb  0.407  0.829  0.947
Sb  0.593  0.171  0.053
Sb  0.829  0.947  0.407
Sb  0.947  0.407  0.829

Values from the calculation:
E = -5.50 eV/atom
E_form (uncorrected) = -0.462 eV/atom
size of the total moment = 6.38 μB/f.u.
N(E_F) = 72.1 states/eV/cell

---

(6)
DFT (PBE) results for crystalline Mg5H2Ir at its relaxed geometry.

a b c (Å): 4.725 5.357 5.634
angles (deg): 89.92 89.97 66.11
Fractional coordinates of all 8 atoms:
Mg  0.000  0.000  0.000
Mg  0.147  0.203  0.500
Mg  0.500  0.499  0.753
Mg  0.500  0.501  0.247
Mg  0.853  0.797  0.500
H  0.345  0.229  0.004
H  0.655  0.771  0.996
Ir  0.000  0.500  0.000

Values from the calculation:
E = -3.15 eV/atom
size of the total moment = 0.00 μB/f.u.
energy relative to the lowest polymorph listed for this composition = 0.057 eV per formula unit
N(E_F) = 1.9 states/eV/cell

---

> Which value of size of the total moment does entry 1 give?

0.00 μB/f.u.

---

> size of the total moment of number 6 (Mg5H2Ir)?

0.00 μB/f.u.

---

> The highest E belongs to which entry?

Ho4Cd5Cu2

---

> Number 5 is which compound?

Ce6TlSb3